VASP calculation (PBE) on a geometry-optimized NaZnFeSn2 structure.

Computed properties:
* energy of formation from the pure elements: 0.056 eV/atom
* crystal system: tetragonal

a = 4.9115 Å, b = 4.9115 Å, c = 4.8461 Å
α = 90.00°, β = 90.00°, γ = 90.00°
Last column: nearest neighbours and their distance in Å.
Atoms (fractional coordinates):
1 Na 0.0000 0.0000 0.0000  8 Sn 3.45, 4 Zn 3.47
2 Zn 0.5000 0.5000 0.0000  2 Fe 2.42
3 Fe 0.5000 0.5000 0.5000  2 Zn 2.42, 4 Sn 2.46
4 Sn 0.0000 0.5000 0.5000  2 Fe 2.46
5 Sn 0.5000 0.0000 0.5000  2 Fe 2.46



VASP calculation (PBE) on a geometry-optimized BaSnPd2Rh structure.

Computed properties:
* energy of formation from the pure elements: 0.696 eV/atom
* crystal system: tetragonal

a = 4.9057 Å, b = 4.9057 Å, c = 6.3947 Å
α = 90.00°, β = 90.00°, γ = 90.00°
Last column: nearest neighbours and their distance in Å.
Atoms (fractional coordinates):
1 Ba 0.0000 0.0000 0.0000  2 Sn 3.20, 4 Rh 3.47
2 Sn 0.0000 0.0000 0.5000  4 Pd 2.45
3 Pd 0.0000 0.5000 0.5000  2 Sn 2.45
4 Pd 0.5000 0.0000 0.5000  2 Sn 2.45
5 Rh 0.5000 0.5000 0.0000  4 Ba 3.47